Entry 1:
Entry from the Alexandria database: an optimized crystal structure of TbY2IO8 (PBE).

abc: 5.038 5.041 6.854
angles: 90.00 90.00 90.74
Atoms (fractional coordinates):
Tb  0.000  0.000  0.500
Y  0.500  0.500  0.749
Y  0.500  0.500  0.251
I  0.000  0.000  0.000
O  0.180  0.820  0.207
O  0.731  0.732  0.000
O  0.820  0.180  0.207
O  0.820  0.180  0.793
O  0.269  0.268  0.000
O  0.180  0.820  0.793
O  0.690  0.691  0.500
O  0.310  0.309  0.500

## Properties
Crystal system: orthorhombic
SG: Cmmm (65)
Calculated volume: 14.51 Å³/atom
Final energy: -7.228 eV/atom
DOS(E_F): 0.0 states/eV/cell
Energy relative to the elements, uncorrected: -2.33 eV/atom

Entry 2:
Entry from the Alexandria database: an optimized crystal structure of TcIO2 (PBE).

abc: 4.185 4.185 4.185
angles: 60.00 60.00 60.00
Site moments in Bohr magnetons follow the coordinates.
Atoms (fractional coordinates):
I  0.500  0.500  0.500  -0.17
Tc  0.000  0.000  0.000  1.74
O  0.250  0.250  0.250  -0.07
O  0.750  0.750  0.750  -0.07

## Properties
Crystal system: cubic
SG: Fm-3m (225)
Calculated volume: 12.96 Å³/atom
E above lowest polymorph: 541 kJ/mol of formula units
Final energy: -4.766 eV/atom
DOS(E_F): 3.1 states/eV/cell
Energy relative to the elements, uncorrected: 0.69 eV/atom

Entry 3:
Entry from the Alexandria database: an optimized crystal structure of TcIO4 (PBE).

abc: 8.646 7.437 10.404
angles: 90.00 90.00 90.00
Atoms (fractional coordinates):
Tc  0.750  0.411  0.992
Tc  0.250  0.911  0.508
Tc  0.750  0.089  0.492
Tc  0.250  0.589  0.008
I  0.250  0.146  0.204
I  0.750  0.854  0.796
I  0.250  0.354  0.704
I  0.750  0.646  0.296
O  0.250  0.924  0.335
O  0.750  0.076  0.665
O  0.411  0.704  0.058
O  0.250  0.370  0.074
O  0.750  0.424  0.165
O  0.089  0.704  0.058
O  0.250  0.576  0.835
O  0.911  0.204  0.442
O  0.911  0.296  0.942
O  0.750  0.870  0.426
O  0.089  0.796  0.558
O  0.750  0.630  0.926
O  0.589  0.296  0.942
O  0.250  0.130  0.574
O  0.411  0.796  0.558
O  0.589  0.204  0.442

## Properties
Crystal system: orthorhombic
SG: Pnma (62)
Calculated volume: 27.88 Å³/atom
Final energy: -6.242 eV/atom
Energy relative to the elements, uncorrected: -0.95 eV/atom

Entry 4:
Entry from the Alexandria database: an optimized crystal structure of TcI2O2 (PBE).

abc: 4.066 4.066 6.003
angles: 90.00 90.00 90.00
Atoms (fractional coordinates):
I  0.500  0.500  0.500
I  0.000  0.000  0.500
Tc  0.000  0.000  0.000
O  0.000  0.500  0.000
O  0.500  0.000  0.000

## Properties
Crystal system: tetragonal
SG: P4/mmm (123)
Calculated volume: 19.85 Å³/atom
E above lowest polymorph: 0 kJ/mol of formula units
Final energy: -4.800 eV/atom
DOS(E_F): 2.8 states/eV/cell
Energy relative to the elements, uncorrected: -0.12 eV/atom

Entry 5:
Entry from the Alexandria database: an optimized crystal structure of TcIO6 (PBE).

abc: 5.493 5.493 4.918
angles: 96.33 96.33 126.82
Atoms (fractional coordinates):
Tc  0.000  0.000  0.000
I  0.500  0.500  0.500
O  0.237  0.237  0.762
O  0.382  0.122  0.251
O  0.763  0.763  0.238
O  0.878  0.618  0.749
O  0.618  0.878  0.749
O  0.122  0.382  0.251

## Properties
Crystal system: monoclinic
SG: C2/m (12)
Calculated volume: 14.39 Å³/atom
Final energy: -5.793 eV/atom
Energy relative to the elements, uncorrected: -0.58 eV/atom

Entry 6:
Entry from the Alexandria database: an optimized crystal structure of TcI2O2 (PBE).

abc: 5.484 5.484 3.724
angles: 90.00 90.00 90.00
Site moments in Bohr magnetons follow the coordinates.
Atoms (fractional coordinates):
I  0.000  0.500  0.000  -0.11
I  0.500  0.000  0.000  -0.11
Tc  0.000  0.000  0.000  0.31
O  0.500  0.500  0.500  -1.19
O  0.000  0.000  0.500  -0.02

## Properties
Crystal system: tetragonal
SG: P4/mmm (123)
Calculated volume: 22.40 Å³/atom
E above lowest polymorph: 160 kJ/mol of formula units
Final energy: -4.469 eV/atom
DOS(E_F): 4.4 states/eV/cell
Energy relative to the elements, uncorrected: 0.21 eV/atom

Entry 7:
Entry from the Alexandria database: an optimized crystal structure of TcIO2 (PBE).

abc: 8.814 8.814 8.814
angles: 20.01 20.01 20.01
Atoms (fractional coordinates):
I  0.500  0.500  0.500
Tc  0.000  0.000  0.000
O  0.932  0.932  0.932
O  0.068  0.068  0.068

## Properties
Crystal system: trigonal
SG: R-3m (166)
Calculated volume: 17.52 Å³/atom
E above lowest polymorph: 252 kJ/mol of formula units
Final energy: -5.515 eV/atom
DOS(E_F): 3.8 states/eV/cell
Energy relative to the elements, uncorrected: -0.06 eV/atom

Entry 8:
Entry from the Alexandria database: an optimized crystal structure of TcI2O2 (PBE).

abc: 4.915 4.915 3.483
angles: 90.00 90.00 90.00
Site moments in Bohr magnetons follow the coordinates.
Atoms (fractional coordinates):
I  0.000  0.500  0.000  -0.01
I  0.500  0.000  0.000  -0.01
Tc  0.500  0.500  0.500  0.42
O  0.000  0.000  0.000  -0.02
O  0.000  0.000  0.500  0.02

## Properties
Crystal system: tetragonal
SG: P4/mmm (123)
Calculated volume: 16.83 Å³/atom
E above lowest polymorph: 626 kJ/mol of formula units
Final energy: -3.503 eV/atom
DOS(E_F): 4.4 states/eV/cell
Energy relative to the elements, uncorrected: 1.17 eV/atom